No. 1
Ba5Bi2O after structural relaxation, computed with PBE.

a b c (Å): 8.0816 8.0816 15.4230
angles (deg): 90.00 90.00 129.20
Fractional positions:
Ba 0.0611 0.9389 0.6301
Ba 0.0611 0.9389 0.8699
Ba 0.3000 0.7000 0.2500
Ba 0.3263 0.6737 0.6164
Ba 0.3263 0.6737 0.8836
Ba 0.6737 0.3263 0.1164
Ba 0.6737 0.3263 0.3836
Ba 0.7000 0.3000 0.7500
Ba 0.9389 0.0611 0.1301
Ba 0.9389 0.0611 0.3699
Bi 0.1697 0.8303 0.0676
Bi 0.1697 0.8303 0.4324
Bi 0.8303 0.1697 0.5676
Bi 0.8303 0.1697 0.9324
O 0.1997 0.8003 0.7500
O 0.8003 0.1997 0.2500

Output
- symmetry = Cmcm (63)



No. 2
BaBiO after structural relaxation, computed with PBE.

a b c (Å): 4.4241 4.4241 9.8385
angles (deg): 90.00 90.00 90.00
Fractional positions:
Ba 0.2500 0.2500 0.1268
Ba 0.7500 0.7500 0.8732
Bi 0.2500 0.2500 0.5520
Bi 0.7500 0.7500 0.4480
O 0.2500 0.7500 0.0000
O 0.7500 0.2500 0.0000

Output
- energy above the most stable polymorph in this dataset (meV per atom) = 107
- symmetry = P4/nmm (129)



No. 3
Ba2BiO after structural relaxation, computed with PBE.

a b c (Å): 7.2758 7.2758 7.2758
angles (deg): 114.05 114.05 100.66
Fractional positions:
Ba 0.0192 0.1250 0.3942
Ba 0.3750 0.9808 0.1058
Ba 0.7308 0.6250 0.6058
Ba 0.8750 0.2692 0.8942
Bi 0.2500 0.7500 0.5000
Bi 0.5000 0.5000 0.0000
O 0.0000 0.0000 0.0000
O 0.7500 0.2500 0.5000

Output
- energy above the most stable polymorph in this dataset (meV per atom) = 62
- symmetry = I-42d (122)



No. 4
Ba2BiO after structural relaxation, computed with PBE.

a b c (Å): 5.7447 5.7447 5.7447
angles (deg): 60.00 60.00 60.00
Fractional positions:
Ba 0.2500 0.2500 0.2500
Ba 0.7500 0.7500 0.7500
Bi 0.0000 0.0000 0.0000
O 0.5000 0.5000 0.5000

Output
- energy above the most stable polymorph in this dataset (meV per atom) = 752
- symmetry = Fm-3m (225)



No. 5
Ba8Bi5O after structural relaxation, computed with PBE.

a b c (Å): 9.2004 9.2004 9.2004
angles (deg): 111.11 111.11 106.23
Fractional positions:
Ba 0.0067 0.6956 0.7875
Ba 0.2501 0.5204 0.1047
Ba 0.3044 0.0919 0.3111
Ba 0.4157 0.1454 0.8953
Ba 0.4796 0.5843 0.7297
Ba 0.7807 0.9933 0.6889
Ba 0.8546 0.7499 0.2703
Ba 0.9081 0.2193 0.2125
Bi 0.1095 0.2257 0.6197
Bi 0.2500 0.7500 0.5000
Bi 0.5101 0.8905 0.1162
Bi 0.6060 0.4899 0.3803
Bi 0.7743 0.3940 0.8838
O 0.0000 0.0000 0.0000

Output
- symmetry = I-4 (82)



No. 6
Ba3Bi2O8 after structural relaxation, computed with PBE.

a b c (Å): 8.1680 8.1680 8.1680
angles (deg): 45.63 45.63 45.63
Fractional positions:
Ba 0.0000 0.0000 0.0000
Ba 0.1992 0.1992 0.1992
Ba 0.8008 0.8008 0.8008
Bi 0.4062 0.4062 0.4062
Bi 0.5938 0.5938 0.5938
O 0.2121 0.7404 0.7404
O 0.2596 0.2596 0.7879
O 0.2596 0.7879 0.2596
O 0.3142 0.3142 0.3142
O 0.6858 0.6858 0.6858
O 0.7404 0.2121 0.7404
O 0.7404 0.7404 0.2121
O 0.7879 0.2596 0.2596

Output
- symmetry = R-3m (166)



No. 7
BaBiO2 after structural relaxation, computed with PBE.

a b c (Å): 7.5959 7.5959 7.5959
angles (deg): 29.66 29.66 29.66
Fractional positions:
Ba 0.0000 0.0000 0.0000
Bi 0.5000 0.5000 0.5000
O 0.3993 0.3993 0.3993
O 0.6007 0.6007 0.6007

Output
- symmetry = R-3m (166)



No. 8
Ba2BiO6 after structural relaxation, computed with PBE.

a b c (Å): 6.7801 6.7801 4.0448
angles (deg): 97.28 97.28 56.91
Fractional positions:
Ba 0.1649 0.1649 0.1773
Ba 0.8351 0.8351 0.8227
Bi 0.5000 0.5000 0.5000
O 0.1458 0.5892 0.3349
O 0.2946 0.7054 0.0000
O 0.4108 0.8542 0.6651
O 0.5892 0.1458 0.3349
O 0.7054 0.2946 0.0000
O 0.8542 0.4108 0.6651

Output
- symmetry = C2/m (12)



No. 9
Ba3BiO after structural relaxation, computed with PBE.

a b c (Å): 5.9660 8.0635 9.6118
angles (deg): 90.00 107.51 90.00
Fractional positions:
Ba 0.0216 0.2500 0.1121
Ba 0.3324 0.5012 0.6569
Ba 0.3324 0.9988 0.6569
Ba 0.6676 0.0012 0.3431
Ba 0.6676 0.4988 0.3431
Ba 0.9784 0.7500 0.8879
Bi 0.1347 0.7500 0.2808
Bi 0.8653 0.2500 0.7192
O 0.3230 0.7500 0.8012
O 0.6770 0.2500 0.1988

Output
- energy above the most stable polymorph in this dataset (meV per atom) = 115
- symmetry = P2_1/m (11)



No. 10
Ba3Bi2O7 after structural relaxation, computed with PBE.

a b c (Å): 11.8088 11.8088 4.3579
angles (deg): 90.00 90.00 158.20
Fractional positions:
Ba 0.0000 0.0000 0.0000
Ba 0.1787 0.8213 0.0000
Ba 0.8213 0.1787 0.0000
Bi 0.4019 0.5981 0.5000
Bi 0.5981 0.4019 0.5000
O 0.0968 0.9032 0.5000
O 0.3077 0.6923 0.5000
O 0.4023 0.5977 0.0000
O 0.5000 0.5000 0.5000
O 0.5977 0.4023 0.0000
O 0.6923 0.3077 0.5000
O 0.9032 0.0968 0.5000

Output
- energy above the most stable polymorph in this dataset (meV per atom) = 107
- symmetry = Cmmm (65)



No. 11
BaBi3O8 after structural relaxation, computed with PBE.

a b c (Å): 5.9038 5.9038 7.8704
angles (deg): 90.00 90.00 120.00
Fractional positions:
Ba 0.0000 0.0000 0.0000
Bi 0.0000 0.0000 0.5000
Bi 0.3333 0.6667 0.7469
Bi 0.6667 0.3333 0.2531
O 0.0321 0.7378 0.6795
O 0.2622 0.2944 0.6795
O 0.2944 0.0321 0.3205
O 0.3333 0.6667 0.0006
O 0.6667 0.3333 0.9994
O 0.7056 0.9679 0.6795
O 0.7378 0.7056 0.3205
O 0.9679 0.2622 0.3205

Output
- symmetry = P-3 (147)



No. 12
Ba5Bi5O13 after structural relaxation, computed with PBE.

a b c (Å): 6.3800 6.3800 25.7746
angles (deg): 98.92 98.92 57.48
Fractional positions:
Ba 0.0436 0.2499 0.4529
Ba 0.0712 0.0712 0.1466
Ba 0.2146 0.2790 0.7533
Ba 0.3519 0.5010 0.3538
Ba 0.3909 0.3113 0.0471
Ba 0.4990 0.6481 0.6462
Ba 0.6887 0.6091 0.9529
Ba 0.7210 0.7854 0.2467
Ba 0.7501 0.9564 0.5471
Ba 0.9288 0.9288 0.8534
Bi 0.0247 0.1521 0.2974
Bi 0.0380 0.9620 0.0000
Bi 0.1354 0.2996 0.6029
Bi 0.3057 0.2622 0.8978
Bi 0.3727 0.4416 0.1998
Bi 0.3965 0.6035 0.5000
Bi 0.5584 0.6273 0.8002
Bi 0.7004 0.8646 0.3971
Bi 0.7378 0.6943 0.1022
Bi 0.8479 0.9753 0.7026
O 0.0133 0.1268 0.6570
O 0.0797 0.8490 0.2266
O 0.1510 0.9203 0.7734
O 0.1634 0.5559 0.9578
O 0.1775 0.3184 0.2486
O 0.1818 0.0426 0.9333
O 0.2482 0.5238 0.5662
O 0.2605 0.0077 0.5421
O 0.4441 0.8366 0.0422
O 0.4615 0.4213 0.8489
O 0.4762 0.7518 0.4338
O 0.5104 0.0643 0.1504
O 0.5213 0.2386 0.4489
O 0.5363 0.0474 0.6400
O 0.5787 0.5385 0.1511
O 0.5939 0.3602 0.7322
O 0.6398 0.4061 0.2678
O 0.6683 0.0821 0.9542
O 0.6816 0.8225 0.7514
O 0.7614 0.4787 0.5511
O 0.8732 0.9867 0.3430
O 0.9179 0.3317 0.0458
O 0.9357 0.4896 0.8496
O 0.9526 0.4637 0.3600
O 0.9574 0.8182 0.0667
O 0.9923 0.7395 0.4579

Output
- symmetry = C2 (5)



What did we get for formation energy (no corrections)? Answer: -994.0 -1409.4 -1520.5 -830.4 -1037.8 -1712.5 -1518.8 -1268.1 -1334.6 -1825.0 -998.5 -1835.5 meV per atom, in the order shown.